Computed, not measured: a geometry-optimized Ce6GeTe3P2 structure at the GGA-PBE level of DFT.

Cell lengths 4.270, 8.740, 9.729 Å; angles 104.81, 102.68, 90.00 degrees
Site moments in Bohr magnetons follow the coordinates.
Element x y z (fractional)
Ce (0.663, 0.106, 0.325)  0.76
Ce (0.337, 0.894, 0.675)  0.76
Ce (0.009, 0.240, 0.018)  0.69
Ce (0.674, 0.565, 0.349)  0.81
Ce (0.326, 0.435, 0.651)  0.81
Ce (0.991, 0.760, 0.982)  0.69
Te (0.165, 0.833, 0.330)  -0.02
Te (0.500, 0.500, 0.000)  -0.02
Te (0.835, 0.167, 0.670)  -0.02
P (0.168, 0.335, 0.335)  -0.03
P (0.832, 0.665, 0.665)  -0.03
Ge (0.500, 0.000, 0.000)  -0.04

## Properties
Formation energy (no corrections) ... -1335 meV/atom
Raw total energy ... -6.374 eV/atom
Total moment ... 5.2 μB/cell

***

Computed, not measured: a geometry-optimized Ce8GeTe4P3 structure at the GGA-PBE level of DFT.

Cell lengths 8.519, 8.741, 8.519 Å; angles 119.16, 120.00, 90.00 degrees
Site moments in Bohr magnetons follow the coordinates.
Element x y z (fractional)
Ce (0.262, 0.285, 0.523)  0.83
Ce (0.242, 0.719, 0.485)  0.76
Ce (0.758, 0.281, 0.023)  0.76
Ce (0.758, 0.281, 0.515)  0.76
Ce (0.734, 0.719, 0.977)  0.76
Ce (0.266, 0.281, 0.023)  0.76
Ce (0.738, 0.715, 0.477)  0.83
Ce (0.242, 0.719, 0.977)  0.76
P (0.000, 0.500, 0.500)  -0.04
P (0.500, 0.500, 0.000)  -0.04
P (0.500, 0.500, 0.500)  -0.04
Te (0.000, 0.000, 0.000)  -0.02
Te (0.500, 0.000, 0.500)  -0.02
Te (0.500, 0.000, 0.000)  -0.02
Te (0.000, 0.000, 0.500)  -0.02
Ge (0.000, 0.500, 0.000)  -0.04

## Properties
Formation energy (no corrections) ... -1367 meV/atom
Raw total energy ... -6.423 eV/atom
Total moment ... 7.2 μB/cell

***

Computed, not measured: a geometry-optimized Ce6Ge2Te3P structure at the GGA-PBE level of DFT.

Cell lengths 4.315, 8.763, 9.770 Å; angles 104.20, 102.76, 90.00 degrees
Site moments in Bohr magnetons follow the coordinates.
Element x y z (fractional)
Ce (0.672, 0.570, 0.344)  0.67
Ce (0.658, 0.093, 0.316)  0.73
Ce (0.328, 0.430, 0.656)  0.67
Ce (0.004, 0.228, 0.008)  0.81
Ce (0.996, 0.772, 0.992)  0.81
Ce (0.342, 0.907, 0.684)  0.73
Te (0.832, 0.167, 0.664)  -0.02
Te (0.500, 0.500, 0.000)  -0.02
Te (0.168, 0.833, 0.336)  -0.02
Ge (0.834, 0.668, 0.668)  -0.04
Ge (0.166, 0.332, 0.332)  -0.04
P (0.500, 0.000, 0.000)  -0.04

## Properties
Formation energy (no corrections) ... -1207 meV/atom
Raw total energy ... -6.179 eV/atom
Total moment ... 5.0 μB/cell

***

Computed, not measured: a geometry-optimized Ce2PaGe structure at the GGA-PBE level of DFT.

Cell lengths 3.102, 3.102, 11.288 Å; angles 82.10, 82.10, 60.00 degrees
Element x y z (fractional)
Ge (0.500, 0.500, 0.500)
Ce (0.090, 0.090, 0.731)
Ce (0.910, 0.910, 0.269)
Pa (0.000, 0.000, 0.000)

## Properties
Raw total energy ... -6.536 eV/atom
ΔE_f ... -0.041 eV per atom
Total moment ... 0.0 μB/cell

***

Computed, not measured: a geometry-optimized CePa4Ge5 structure at the GGA-PBE level of DFT.

Cell lengths 4.152, 5.872, 10.998 Å; angles 105.48, 100.88, 90.00 degrees
Site moments in Bohr magnetons follow the coordinates.
Element x y z (fractional)
Pa (0.201, 0.201, 0.402)  0.02
Pa (0.799, 0.799, 0.598)  0.02
Pa (0.600, 0.600, 0.200)  0.02
Pa (0.400, 0.400, 0.800)  0.02
Ge (0.000, 0.500, 0.000)  0.00
Ge (0.199, 0.699, 0.399)  0.00
Ge (0.801, 0.301, 0.601)  0.00
Ge (0.603, 0.103, 0.206)  0.00
Ge (0.397, 0.897, 0.794)  0.00
Ce (0.000, 0.000, 0.000)  0.25

## Properties
Raw total energy ... -7.181 eV/atom
ΔE_f ... -0.480 eV per atom
Total moment ... 0.4 μB/cell

***

Computed, not measured: a geometry-optimized CePa3Ge4 structure at the GGA-PBE level of DFT.

Cell lengths 3.083, 8.188, 8.188 Å; angles 81.86, 67.90, 67.90 degrees
Site moments in Bohr magnetons follow the coordinates.
Element x y z (fractional)
Ge (0.000, 0.754, 0.746)  -0.01
Ge (0.508, 0.246, 0.746)  -0.01
Ge (0.492, 0.754, 0.254)  -0.01
Ge (0.000, 0.246, 0.254)  -0.01
Ce (0.500, 0.500, 0.000)  0.61
Pa (0.000, 0.000, 0.000)  0.32
Pa (0.000, 0.500, 0.500)  0.33
Pa (0.500, 0.000, 0.500)  -0.29

## Properties
Raw total energy ... -7.086 eV/atom
ΔE_f ... -0.475 eV per atom
Total moment ... 1.1 μB/cell

***

raw total energy of number 3 (Ce6Ge2Te3P)?
-6.179 eV/atom